{"formula": "CaPmCdIr", "functional": "PBE", "state": "optimized geometry", "lattice_angstrom": [[5.1170, 0.0000, 0.0000], [2.5585, 4.4315, 0.0000], [2.5585, 1.4772, 4.1780]], "species": ["Ir", "Pm", "Cd", "Ca"], "fractional_positions": [[0.2500, 0.2500, 0.2500], [0.5000, 0.5000, 0.5000], [0.7500, 0.7500, 0.7500], [0.0000, 0.0000, 0.0000]], "ef_ev_per_atom": -0.354, "space_group": "F-43m, No. 216", "e_above_lowest_polymorph_kcal_per_mol_atoms": 1.34}